Computed, not measured: an optimized crystal structure of CoTcO3 at the PBE with a Hubbard U level of DFT.

Cell and atoms, written as extended XYZ:
```
5
Lattice="3.662 0.000 0.000 0.000 3.662 0.000 0.000 0.000 3.662" Properties=species:S:1:pos:R:3 pbc="T T T"
Co 0.000 0.000 0.000
Tc 1.831 1.831 1.831
O 0.000 0.000 1.831
O 0.000 1.831 0.000
O 1.831 0.000 0.000
```

## Properties
Fermi-level density of states = 3.642 states/eV per cell
raw total energy = -6.1527 eV per atom
magnetic moment = 3.8 μB/f.u.
theoretical density = 6.93 g/cm3
space-group type = Pm-3m